[1]
The following is a PBE-GGA calculation of K3Tc after structural relaxation, from Alexandria.

The calculation puts the relative energy among the computed polymorphs at 97.7 meV/atom. For the energy of formation, the calculation gives 1226.2 meV per atom.

The structure belongs to space group Cmmm (No. 65); the cell edges are 7.8350, 11.6922 and 3.8139 Å and the angles 90.00°, 90.00° and 90.00°. Symmetry generates all atoms from K at (0.0000, 0.0000, 0.0000), K at (0.2500, 0.2500, 0.5000) and Tc at (0.0000, 0.5000, 0.0000).



[2]
The following is a PBE-GGA calculation of K3Tc after structural relaxation, from Alexandria.

The calculation puts the relative energy among the computed polymorphs at 64.9 meV/atom. For the energy of formation, the calculation gives 1193.3 meV per atom.

The structure belongs to space group P-6m2 (No. 187); the cell edges are 3.7899, 3.7899 and 13.8253 Å and the angles 90.00°, 90.00° and 120.00°. Symmetry generates all atoms from K at (0.0000, 0.0000, 0.0000), K at (0.3333, 0.6667, 0.3035) and Tc at (0.0000, 0.0000, 0.5000).



[3]
The following is a PBE-GGA calculation of K3Tc after structural relaxation, from Alexandria.

The calculation puts the relative energy among the computed polymorphs at 70.7 meV/atom. For the energy of formation, the calculation gives 1199.1 meV per atom.

The structure belongs to space group Pm-3n (No. 223); the cell edges are 7.0973, 7.0973 and 7.0973 Å and the angles 90.00°, 90.00° and 90.00°. Symmetry generates all atoms from K at (0.0000, 0.2500, 0.5000) and Tc at (0.0000, 0.0000, 0.0000).



[4]
The following is a PBE-GGA calculation of K4Tc after structural relaxation, from Alexandria.

The calculation puts the relative energy among the computed polymorphs at 68.7 meV/atom. For the energy of formation, the calculation gives 986.0 meV per atom.

The structure belongs to space group Im-3m (No. 229); the cell edges are 8.2465, 8.2465 and 8.2465 Å and the angles 90.00°, 90.00° and 90.00°. Symmetry generates all atoms from K at (0.2500, 0.2500, 0.2500) and Tc at (0.0000, 0.0000, 0.0000).



[5]
The following is a PBE-GGA calculation of K5Tc after structural relaxation, from Alexandria.

The calculation puts the relative energy among the computed polymorphs at 43.9 meV/atom. For the energy of formation, the calculation gives 809.6 meV per atom.

The structure belongs to space group Amm2 (No. 38); the cell edges are 6.6916, 4.2894 and 22.8411 Å and the angles 90.00°, 90.00° and 90.00°. Symmetry generates all atoms from K at (0.0000, 0.0000, 0.0000), K at (0.0000, 0.0000, 0.2660), K at (0.5000, 0.0000, 0.0881), K at (0.5000, 0.0000, 0.4040), K at (0.5000, 0.0000, 0.7270) and Tc at (0.0000, 0.0000, 0.6341).



[6]
The following is a PBE-GGA calculation of K5Tc after structural relaxation, from Alexandria.

The calculation puts the relative energy among the computed polymorphs at 7.4 meV/atom. For the energy of formation, the calculation gives 773.0 meV per atom.

The structure belongs to space group C2/m (No. 12); the cell edges are 15.4482, 4.1919 and 11.0008 Å and the angles 90.00°, 112.83° and 90.00°. Symmetry generates all atoms from K at (0.0000, 0.0000, 0.0000), K at (0.1284, 0.5000, 0.3766), K at (0.1613, 0.5000, 0.7723) and Tc at (0.0000, 0.0000, 0.5000).